No. 1
## UNb2Mo (PBE-GGA)

Data for a geometry-optimized UNb2Mo structure.

Cell lengths 4.761, 4.761, 3.262 Å; angles 90.00, 90.00, 90.00 degrees
Sites, in units of the cell vectors:
U: 0.000 0.000 0.000
Nb: 0.000 0.500 0.500
Nb: 0.500 0.000 0.500
Mo: 0.500 0.500 0.000

Calculated values
symmetry: P4/mmm (123)
E_form: 226 meV per atom
ΔE to the lowest computed polymorph: 0.0929 eV/atom

***

No. 2
## U2NbMo (PBE-GGA)

Data for a geometry-optimized U2NbMo structure.

Cell lengths 3.427, 3.427, 6.870 Å; angles 90.00, 90.00, 90.00 degrees
Sites, in units of the cell vectors:
U: 0.000 0.000 0.240
U: 0.000 0.000 0.760
Nb: 0.500 0.500 0.500
Mo: 0.500 0.500 0.000

Calculated values
symmetry: P4/mmm (123)
E_form: 471 meV per atom

***

No. 3
## UNb2Mo (PBE-GGA)

Data for a geometry-optimized UNb2Mo structure.

Cell lengths 6.634, 6.634, 6.634 Å; angles 90.00, 90.00, 90.00 degrees
Sites, in units of the cell vectors:
U: 0.000 0.000 0.000
U: 0.000 0.500 0.500
U: 0.500 0.000 0.500
U: 0.500 0.500 0.000
Nb: 0.250 0.250 0.250
Nb: 0.250 0.250 0.750
Nb: 0.250 0.750 0.250
Nb: 0.250 0.750 0.750
Nb: 0.750 0.250 0.250
Nb: 0.750 0.250 0.750
Nb: 0.750 0.750 0.250
Nb: 0.750 0.750 0.750
Mo: 0.000 0.000 0.500
Mo: 0.000 0.500 0.000
Mo: 0.500 0.000 0.000
Mo: 0.500 0.500 0.500

Calculated values
symmetry: Fm-3m (225)
E_form: 133 meV per atom
ΔE to the lowest computed polymorph: 0.0000 eV/atom

***

No. 4
## UNbVMo (PBE-GGA)

Data for a geometry-optimized UNbVMo structure.

Cell lengths 6.519, 6.519, 6.519 Å; angles 90.00, 90.00, 90.00 degrees
Sites, in units of the cell vectors:
U: 0.000 0.000 0.000
U: 0.000 0.500 0.500
U: 0.500 0.000 0.500
U: 0.500 0.500 0.000
Nb: 0.000 0.000 0.500
Nb: 0.000 0.500 0.000
Nb: 0.500 0.000 0.000
Nb: 0.500 0.500 0.500
V: 0.250 0.250 0.250
V: 0.250 0.750 0.750
V: 0.750 0.250 0.750
V: 0.750 0.750 0.250
Mo: 0.250 0.250 0.750
Mo: 0.250 0.750 0.250
Mo: 0.750 0.250 0.250
Mo: 0.750 0.750 0.750

Calculated values
symmetry: F-43m (216)
E_form: 143 meV per atom

***

> Look up the E_form of the second one.

471 meV per atom